Entry 1:
A plane-wave DFT calculation with GGA-PBEsol was carried out for a relaxed structure of MgTa2Fe.

Computed properties:
- DFT formation energy: 0.41 eV per atom

Unit cell a=3.8375 b=3.8375 c=8.5510 alpha=90.00 beta=90.00 gamma=90.00
Space group I-4m2 (No. 119)
Asymmetric unit:
Mg1 0.0000 0.0000 0.0000
Ta1 0.0000 0.0000 0.5000
Ta2 0.0000 0.5000 0.2500
Fe1 0.0000 0.5000 0.7500

Entry 2:
A plane-wave DFT calculation with GGA-PBEsol was carried out for a relaxed structure of MgTa2Fe.

Computed properties:
- DFT formation energy: 0.23 eV per atom

Unit cell a=3.0189 b=4.5951 c=9.0586 alpha=90.00 beta=90.00 gamma=90.00
Space group Imm2 (No. 44)
Asymmetric unit:
Mg1 0.0000 0.0000 0.0000
Ta1 0.0000 0.0000 0.4439
Ta2 0.0000 0.5000 0.2161
Fe1 0.0000 0.5000 0.7326

Entry 3:
A plane-wave DFT calculation with GGA-PBEsol was carried out for a relaxed structure of MgTaFe.

Computed properties:
- DFT formation energy: 0.59 eV per atom

Unit cell a=5.8646 b=5.8646 c=5.8646 alpha=90.00 beta=90.00 gamma=90.00
Space group F-43m (No. 216)
Asymmetric unit:
Mg1 0.0000 0.0000 0.0000
Ta1 0.0000 0.0000 0.5000
Fe1 0.2500 0.2500 0.7500

Entry 4:
A plane-wave DFT calculation with GGA-PBEsol was carried out for a relaxed structure of Mg3FeTc.

Computed properties:
- DFT formation energy: 1.39 eV per atom

Unit cell a=4.8908 b=4.8908 c=4.8908 alpha=90.00 beta=90.00 gamma=90.00
Space group Pm-3m (No. 221)
Asymmetric unit:
Mg1 0.0000 0.0000 0.5000
Fe1 0.5000 0.5000 0.5000
Tc1 0.0000 0.0000 0.0000

Entry 5:
A plane-wave DFT calculation with GGA-PBEsol was carried out for a relaxed structure of MgFe2Tc.

Computed properties:
- DFT formation energy: 0.37 eV per atom

Unit cell a=8.5974 b=2.5263 c=4.8772 alpha=90.00 beta=93.93 gamma=90.00
Space group C2/m (No. 12)
Asymmetric unit:
Mg1 0.0000 0.0000 0.0000
Fe1 0.2498 0.0000 0.7360
Tc1 0.0000 0.5000 0.5000

Entry 6:
A plane-wave DFT calculation with GGA-PBEsol was carried out for a relaxed structure of MgFe2Tc.

Computed properties:
- DFT formation energy: 0.31 eV per atom

Unit cell a=2.6806 b=2.6806 c=25.6226 alpha=90.00 beta=90.00 gamma=120.00
Space group R3m (No. 160, hexagonal axes)
Asymmetric unit:
Mg1 0.0000 0.0000 0.0000
Fe1 0.0000 0.0000 0.2451
Fe2 0.0000 0.0000 0.5040
Tc1 0.0000 0.0000 0.7609

Entry 7:
A plane-wave DFT calculation with GGA-PBEsol was carried out for a relaxed structure of MgFe2Tc.

Computed properties:
- DFT formation energy: 0.23 eV per atom

Unit cell a=2.7846 b=2.7846 c=6.9374 alpha=90.00 beta=90.00 gamma=90.00
Space group P4mm (No. 99)
Asymmetric unit:
Mg1 0.0000 0.0000 0.0000
Fe1 0.0000 0.0000 0.5210
Fe2 0.5000 0.5000 0.7218
Tc1 0.5000 0.5000 0.3015

Entry 8:
A plane-wave DFT calculation with GGA-PBEsol was carried out for a relaxed structure of MgFe2Tc.

Computed properties:
- DFT formation energy: 0.27 eV per atom

Unit cell a=2.5569 b=4.1864 c=4.9389 alpha=90.00 beta=99.59 gamma=90.00
Space group Pm (No. 6)
Asymmetric unit:
Mg1 0.0000 0.0000 0.0000
Fe1 0.3158 0.5000 0.7727
Fe2 0.4625 0.0000 0.5110
Tc1 0.7265 0.5000 0.2977

Entry 9:
A plane-wave DFT calculation with GGA-PBEsol was carried out for a relaxed structure of MgFe2Tc.

Computed properties:
- DFT formation energy: 0.27 eV per atom

Unit cell a=3.0912 b=4.1433 c=8.3164 alpha=90.00 beta=90.00 gamma=90.00
Space group Cmmm (No. 65)
Asymmetric unit:
Mg1 0.0000 0.0000 0.0000
Fe1 0.0000 0.5000 0.2619
Tc1 0.0000 0.0000 0.5000

Entry 10:
A plane-wave DFT calculation with GGA-PBEsol was carried out for a relaxed structure of MgFe2Tc.

Computed properties:
- DFT formation energy: 0.34 eV per atom

Unit cell a=4.1607 b=4.1607 c=2.8347 alpha=90.00 beta=90.00 gamma=90.00
Space group P4/mmm (No. 123)
Asymmetric unit:
Mg1 0.0000 0.0000 0.0000
Fe1 0.0000 0.5000 0.5000
Tc1 0.5000 0.5000 0.0000

Entry 11:
A plane-wave DFT calculation with GGA-PBEsol was carried out for a relaxed structure of YMgFeTc2.

Computed properties:
- DFT formation energy: 0.73 eV per atom

Unit cell a=4.4365 b=4.4365 c=4.8849 alpha=90.00 beta=90.00 gamma=90.00
Space group P4/mmm (No. 123)
Asymmetric unit:
Y1 0.0000 0.0000 0.0000
Mg1 0.5000 0.5000 0.0000
Fe1 0.0000 0.0000 0.5000
Tc1 0.0000 0.5000 0.5000

Entry 12:
A plane-wave DFT calculation with GGA-PBEsol was carried out for a relaxed structure of MgFe2Te.

Computed properties:
- Excess energy over the best structure of this formula in the dataset: 132 meV per atom
- Formation energy without anion corrections: 0.33 eV per atom

Unit cell a=3.3324 b=3.3324 c=5.7007 alpha=90.00 beta=90.00 gamma=90.00
Space group P4/mmm (No. 123)
Asymmetric unit:
Mg1 0.0000 0.0000 0.0000
Fe1 0.5000 0.5000 0.2755
Te1 0.0000 0.0000 0.5000

Entry 13:
A plane-wave DFT calculation with GGA-PBEsol was carried out for a relaxed structure of MgFe2Te.

Computed properties:
- Excess energy over the best structure of this formula in the dataset: 0 meV per atom
- Formation energy without anion corrections: 0.20 eV per atom

Unit cell a=3.1526 b=3.1526 c=6.9336 alpha=90.00 beta=90.00 gamma=90.00
Space group P4mm (No. 99)
Asymmetric unit:
Mg1 0.0000 0.0000 0.0000
Fe1 0.0000 0.0000 0.6036
Fe2 0.5000 0.5000 0.7696
Te1 0.5000 0.5000 0.3868

Entry 14:
A plane-wave DFT calculation with GGA-PBEsol was carried out for a relaxed structure of MgFe2Te.

Computed properties:
- Excess energy over the best structure of this formula in the dataset: 108 meV per atom
- Formation energy without anion corrections: 0.31 eV per atom

Unit cell a=3.9110 b=3.9110 c=8.0848 alpha=90.00 beta=90.00 gamma=90.00
Space group I4/mmm (No. 139)
Asymmetric unit:
Mg1 0.0000 0.0000 0.0000
Fe1 0.0000 0.5000 0.2500
Te1 0.0000 0.0000 0.5000

Entry 15:
A plane-wave DFT calculation with GGA-PBEsol was carried out for a relaxed structure of MgFeTe2.

Computed properties:
- Formation energy without anion corrections: -0.09 eV per atom

Unit cell a=3.8200 b=3.8200 c=6.4487 alpha=90.00 beta=90.00 gamma=90.00
Space group P4mm (No. 99)
Asymmetric unit:
Mg1 0.0000 0.0000 0.0000
Fe1 0.5000 0.5000 0.6950
Te1 0.0000 0.0000 0.5696
Te2 0.5000 0.5000 0.1154

Entry 16:
A plane-wave DFT calculation with GGA-PBEsol was carried out for a relaxed structure of MgZrTi2Fe.

Computed properties:
- DFT formation energy: 1.11 eV per atom

Unit cell a=4.8357 b=4.8357 c=4.4202 alpha=90.00 beta=90.00 gamma=90.00
Space group P4/mmm (No. 123)
Asymmetric unit:
Mg1 0.0000 0.0000 0.0000
Zr1 0.5000 0.5000 0.5000
Ti1 0.0000 0.5000 0.5000
Fe1 0.5000 0.5000 0.0000

Entry 17:
A plane-wave DFT calculation with GGA-PBEsol was carried out for a relaxed structure of MgTlFe2.

Computed properties:
- DFT formation energy: 0.40 eV per atom

Unit cell a=3.8798 b=3.8798 c=4.0916 alpha=90.00 beta=90.00 gamma=90.00
Space group P4/mmm (No. 123)
Asymmetric unit:
Mg1 0.0000 0.0000 0.0000
Tl1 0.5000 0.5000 0.0000
Fe1 0.0000 0.5000 0.5000

Entry 18:
A plane-wave DFT calculation with GGA-PBEsol was carried out for a relaxed structure of MgFe2W.

Computed properties:
- DFT formation energy: 0.30 eV per atom

Unit cell a=2.7829 b=4.3202 c=8.8443 alpha=90.00 beta=90.00 gamma=90.00
Space group Imm2 (No. 44)
Asymmetric unit:
Mg1 0.0000 0.0000 0.0000
Fe1 0.0000 0.0000 0.5220
Fe2 0.0000 0.5000 0.2373
W1 0.0000 0.5000 0.7810

Entry 19:
A plane-wave DFT calculation with GGA-PBEsol was carried out for a relaxed structure of MgFeW.

Computed properties:
- DFT formation energy: 1.86 eV per atom

Unit cell a=5.8999 b=5.8999 c=5.8999 alpha=90.00 beta=90.00 gamma=90.00
Space group F-43m (No. 216)
Asymmetric unit:
Mg1 0.0000 0.0000 0.0000
Fe1 0.2500 0.2500 0.2500
W1 0.2500 0.2500 0.7500

Entry 20:
A plane-wave DFT calculation with GGA-PBEsol was carried out for a relaxed structure of MgFe2W.

Computed properties:
- DFT formation energy: 0.21 eV per atom

Unit cell a=4.1463 b=4.1463 c=2.9398 alpha=90.00 beta=90.00 gamma=90.00
Space group P4/mmm (No. 123)
Asymmetric unit:
Mg1 0.0000 0.0000 0.0000
Fe1 0.0000 0.5000 0.5000
W1 0.5000 0.5000 0.0000